Entry 1:
! CdHRh3 (GGA-PBE, relaxed); values from VASP
&SYSTEM
  ibrav = 0, nat = 10, ntyp = 3
/
ATOMIC_SPECIES
H 1.01 H.upf
Rh 102.91 Rh.upf
Cd 112.41 Cd.upf
CELL_PARAMETERS angstrom
5.3367 0.0025 -0.0021
2.4184 4.9205 0.0017
1.5035 -2.5555 4.9094
ATOMIC_POSITIONS crystal
H 0.2056 0.2575 0.8496
H 0.7573 0.8766 0.3362
Rh 0.6818 0.1123 0.1645
Cd 0.1848 0.6208 0.6769
Cd 0.7780 0.5137 0.5092
Rh 0.2781 0.0214 0.4994
Rh 0.2811 0.0222 0.0216
Rh 0.7618 0.5254 0.0178
Rh 0.6847 0.1131 0.6866
Rh 0.2011 0.6091 0.1682
! - Crystal system: triclinic
! - VASP energy: -52.5 eV for the cell shown
! - Fermi-level density of states: 5.93 states/eV/f.u.

Entry 2:
! KPrTeSe (GGA-PBE, relaxed); values from VASP
&SYSTEM
  ibrav = 0, nat = 4, ntyp = 4
/
ATOMIC_SPECIES
K 39.10 K.upf
Te 127.60 Te.upf
Se 78.96 Se.upf
Pr 140.91 Pr.upf
CELL_PARAMETERS angstrom
-3.7016 1.9279 -1.6999
-1.7870 -1.5472 -3.8368
-6.3939 -4.9552 2.3297
ATOMIC_POSITIONS crystal
K 0.5041 0.5041 0.4877
Te 0.7389 0.7389 0.7833
Se 0.2629 0.2629 0.2113
Pr 0.9941 0.9941 0.0176
! - Crystal system: trigonal
! - VASP energy: -18.8 eV for the cell shown

Entry 3:
! Ta2PtSeI (GGA-PBE, relaxed); values from VASP
&SYSTEM
  ibrav = 0, nat = 5, ntyp = 4
/
ATOMIC_SPECIES
Pt 195.08 Pt.upf
I 126.90 I.upf
Ta 180.95 Ta.upf
Se 78.96 Se.upf
CELL_PARAMETERS angstrom
-4.8029 0.2793 -1.5407
-1.3389 -3.2123 3.5916
-0.7891 3.8617 3.1598
ATOMIC_POSITIONS crystal
Pt 0.0000 0.0000 0.0000
I 0.5000 0.5000 0.5000
Ta 0.5000 0.0000 0.0000
Ta 0.0000 0.0000 0.5000
Se 0.0000 0.5000 0.0000
! - Crystal system: tetragonal
! - VASP energy: -29.0 eV for the cell shown
! - Fermi-level density of states: 5.80 states/eV/f.u.

Entry 4:
! SnSb2Mo2 (GGA-PBE, relaxed); values from VASP
&SYSTEM
  ibrav = 0, nat = 5, ntyp = 3
/
ATOMIC_SPECIES
Sn 118.71 Sn.upf
Sb 121.76 Sb.upf
Mo 95.94 Mo.upf
CELL_PARAMETERS angstrom
-1.0309 3.3136 -1.4946
0.9640 -1.2487 -3.4333
-7.7468 -1.8682 -3.5746
ATOMIC_POSITIONS crystal
Sn 0.0000 0.0000 0.0000
Sb 0.3769 0.3769 0.2463
Sb 0.6231 0.6231 0.7537
Mo 0.2500 0.7500 0.5000
Mo 0.7500 0.2500 0.5000
! - Crystal system: tetragonal
! - VASP energy: -32.3 eV for the cell shown
! - Fermi-level density of states: 3.52 states/eV/f.u.

Entry 5:
! Fe3P (GGA-PBE, relaxed); values from VASP
&SYSTEM
  ibrav = 0, nat = 8, ntyp = 2
/
ATOMIC_SPECIES
Fe 55.84 Fe.upf
P 30.97 P.upf
CELL_PARAMETERS angstrom
-2.9524 0.9949 -3.5823
-1.4270 -4.4986 0.5145
-3.0211 1.2839 2.8464
ATOMIC_POSITIONS crystal
Fe 0.1369 0.4912 0.2500
Fe 0.5088 0.8631 0.7500
Fe 0.4912 0.1369 0.2500
P 0.6204 0.6204 0.2500
Fe 0.0445 0.0445 0.7500
Fe 0.8631 0.5088 0.7500
Fe 0.9555 0.9555 0.2500
P 0.3796 0.3796 0.7500
! - Crystal system: orthorhombic
! - Fermi-level density of states: 3.66 states/eV/f.u.
! - Energy of formation: 0.13 eV/atom

Entry 6:
! Ho4Cd2InGa (GGA-PBE, relaxed); values from VASP
&SYSTEM
  ibrav = 0, nat = 8, ntyp = 4
/
ATOMIC_SPECIES
Cd 112.41 Cd.upf
Ho 164.93 Ho.upf
In 114.82 In.upf
Ga 69.72 Ga.upf
CELL_PARAMETERS angstrom
-4.0937 1.9161 2.5998
-4.8394 -0.9389 -1.6992
-3.2723 -6.7368 5.0415
ATOMIC_POSITIONS crystal
Cd 0.2528 0.2528 0.2417
Ho 0.1288 0.1288 0.6136
Ho 0.3792 0.3792 0.8623
In 0.0000 0.0000 0.0000
Ga 0.5000 0.5000 0.5000
Ho 0.6208 0.6208 0.1377
Cd 0.7472 0.7472 0.7583
Ho 0.8712 0.8712 0.3864
! - Crystal system: trigonal
! - Fermi-level density of states: 7.64 states/eV/f.u.
! - Energy of formation: -0.42 eV/atom

Entry 7:
! Th4Tc2Sn (GGA-PBE, relaxed); values from VASP
&SYSTEM
  ibrav = 0, nat = 14, ntyp = 3
/
ATOMIC_SPECIES
Th 232.04 Th.upf
Tc 98.00 Tc.upf
Sn 118.71 Sn.upf
CELL_PARAMETERS angstrom
-1.1603 1.3657 4.2182
-5.2826 -2.1827 -3.2361
2.3499 -12.7808 4.7844
ATOMIC_POSITIONS crystal
Th 0.7748 0.5495 0.3915
Th 0.0896 0.1792 0.2500
Tc 0.1065 0.2130 0.0554
Tc 0.8935 0.7870 0.5554
Th 0.5000 0.0000 0.5000
Th 0.2252 0.4505 0.6085
Sn 0.6067 0.2133 0.7500
Th 0.5000 0.0000 0.0000
Tc 0.8935 0.7870 0.9446
Sn 0.3933 0.7867 0.2500
Th 0.2252 0.4505 0.8915
Th 0.7748 0.5495 0.1085
Th 0.9104 0.8208 0.7500
Tc 0.1065 0.2130 0.4446
! - Crystal system: orthorhombic
! - Fermi-level density of states: 6.10 states/eV/f.u.
! - Energy of formation: -0.27 eV/atom

Entry 8:
! NbFeNiRu2 (GGA-PBE, relaxed); values from VASP
&SYSTEM
  ibrav = 0, nat = 5, ntyp = 4
/
ATOMIC_SPECIES
Ru 101.07 Ru.upf
Nb 92.91 Nb.upf
Ni 58.69 Ni.upf
Fe 55.84 Fe.upf
CELL_PARAMETERS angstrom
-3.5859 2.5001 0.1851
-1.6756 -2.1676 -3.1826
-1.7992 -2.7915 2.8484
ATOMIC_POSITIONS crystal
Ru 0.0000 0.0000 0.5000
Nb 0.5000 0.5000 0.5000
Ni 0.0000 0.5000 0.0000
Fe 0.0000 0.0000 0.0000
Ru 0.5000 0.0000 0.0000
! - Crystal system: tetragonal
! - Fermi-level density of states: 6.68 states/eV/f.u.
! - Energy of formation: 1.04 eV/atom